An optimized crystal structure of MoIr2Br. Source: Alexandria, functional PBE-GGA.

a b c (Å): 2.8688 2.8688 28.0850
angles (deg): 90.00 90.00 120.00
Space group R3m (No. 160, hexagonal axes)
Unique sites:
Mo  0.0000  0.0000  0.0000 (multiplicity 3)
Ir  0.0000  0.0000  0.2570 (multiplicity 3)
Ir  0.0000  0.0000  0.5112 (multiplicity 3)
Br  0.0000  0.0000  0.7399 (multiplicity 3)

- V (Å³/cell) = 200
- offset from the most stable computed form (eV/f.u.) = 0.51
- total magnetic moment (μB/cell) = 1.693

An optimized crystal structure of Gd2MgAu. Source: Alexandria, functional PBE-GGA.

a b c (Å): 3.7990 3.7990 27.8480
angles (deg): 90.00 90.00 120.00
Space group R-3m (No. 166, hexagonal axes)
Unique sites:
Gd  0.0000  0.0000  0.2392 (multiplicity 6)
Mg  0.0000  0.0000  0.0000 (multiplicity 3)
Au  0.0000  0.0000  0.5000 (multiplicity 3)

- V (Å³/cell) = 348
- offset from the most stable computed form (eV/f.u.) = 0.75
- total magnetic moment (μB/cell) = 45.648